[1]
The following is a DFT calculation (PBE) of a relaxed Ca2SnGeTe4 crystal.

Values from the calculation:
Energy relative to the elements, uncorrected, eV per atom: -0.857

abc: 7.741 4.463 7.802
angles: 90.00 109.27 90.00
Space group P2/m (No. 10)
Symmetry-distinct sites (fractional):
1 Ca 0.000 0.000 0.000 (multiplicity 1)
2 Ca 0.500 0.500 0.000 (multiplicity 1)
3 Sn 0.000 0.500 0.500 (multiplicity 1)
4 Ge 0.500 0.000 0.500 (multiplicity 1)
5 Te 0.257 0.000 0.746 (multiplicity 2)
6 Te 0.262 0.500 0.261 (multiplicity 2)

=====

[2]
The following is a DFT calculation (PBE) of a relaxed Li2Mg2Cd5 crystal.

Values from the calculation:
DOS at the Fermi energy, states/eV per cell: 4.26
ΔE to the lowest computed polymorph, meV/atom: 0
E_form, eV per atom: -0.1363

abc: 9.797 5.055 7.645
angles: 90.00 102.72 90.00
Space group C2/m (No. 12)
Symmetry-distinct sites (fractional):
1 Li 0.169 0.000 0.004 (multiplicity 4)
2 Mg 0.223 0.500 0.334 (multiplicity 4)
3 Cd 0.000 0.500 0.000 (multiplicity 2)
4 Cd 0.049 0.000 0.315 (multiplicity 4)
5 Cd 0.117 0.500 0.674 (multiplicity 4)

=====

[3]
The following is a DFT calculation (PBE) of a relaxed ReTc2Ir crystal.

Values from the calculation:
DOS at the Fermi energy, states/eV per cell: 8.64
ΔE to the lowest computed polymorph, meV/atom: 141
E_form, eV per atom: -0.0380

abc: 2.7485 2.7485 26.8849
angles: 90.00 90.00 120.00
Space group R3m (No. 160, hexagonal axes)
Symmetry-distinct sites (fractional):
1 Re 0.0000 0.0000 0.0000 (multiplicity 3)
2 Tc 0.0000 0.0000 0.2493 (multiplicity 3)
3 Tc 0.0000 0.0000 0.5004 (multiplicity 3)
4 Ir 0.0000 0.0000 0.7499 (multiplicity 3)

=====

[4]
The following is a DFT calculation (PBE) of a relaxed NbIn2BiP crystal.

Values from the calculation:
DOS at the Fermi energy, states/eV per cell: 9.79
E_form, eV per atom: 1.6559

abc: 5.643 5.643 5.244
angles: 90.00 90.00 90.00
Space group P4/mmm (No. 123)
Symmetry-distinct sites (fractional):
1 Nb 0.000 0.000 0.000 (multiplicity 1)
2 In 0.000 0.500 0.500 (multiplicity 2)
3 Bi 0.500 0.500 0.500 (multiplicity 1)
4 P 0.500 0.500 0.000 (multiplicity 1)

=====

[5]
The following is a DFT calculation (PBE) of a relaxed Ba5Sb2N crystal.

Values from the calculation:
DOS at the Fermi energy, states/eV per cell: 8.16
Energy relative to the elements, uncorrected, eV per atom: -0.757
ΔE to the lowest computed polymorph, meV/atom: 0

abc: 14.733 5.692 17.201
angles: 90.00 90.00 90.00
Space group Pnma (No. 62)
Symmetry-distinct sites (fractional):
1 Ba 0.001 0.250 0.135 (multiplicity 4)
2 Ba 0.014 0.750 0.397 (multiplicity 4)
3 Ba 0.206 0.250 0.975 (multiplicity 4)
4 Ba 0.206 0.750 0.123 (multiplicity 4)
5 Ba 0.247 0.750 0.764 (multiplicity 4)
6 Sb 0.106 0.250 0.774 (multiplicity 4)
7 Sb 0.149 0.250 0.453 (multiplicity 4)
8 N 0.171 0.250 0.129 (multiplicity 4)

=====

[6]
The following is a DFT calculation (PBE) of a relaxed ZrCr2Re crystal.

Values from the calculation:
DOS at the Fermi energy, states/eV per cell: 9.57
ΔE to the lowest computed polymorph, meV/atom: 0
E_form, eV per atom: 0.0270

abc: 6.173 6.173 6.173
angles: 90.00 90.00 90.00
Space group Fm-3m (No. 225)
Symmetry-distinct sites (fractional):
1 Zr 0.000 0.000 0.000 (multiplicity 4)
2 Cr 0.250 0.250 0.250 (multiplicity 8)
3 Re 0.000 0.000 0.500 (multiplicity 4)

=====

[7]
The following is a DFT calculation (PBE) of a relaxed PmTiSb2 crystal.

Values from the calculation:
DOS at the Fermi energy, states/eV per cell: 6.23
Energy relative to the elements, uncorrected, eV per atom: -0.466
ΔE to the lowest computed polymorph, meV/atom: 40

abc: 4.209 4.209 12.750
angles: 90.00 90.00 90.00
Space group I-4m2 (No. 119)
Symmetry-distinct sites (fractional):
1 Pm 0.000 0.000 0.000 (multiplicity 2)
2 Ti 0.000 0.500 0.750 (multiplicity 2)
3 Sb 0.000 0.000 0.379 (multiplicity 4)

=====

[8]
The following is a DFT calculation (PBE) of a relaxed Na2HoPaO6 crystal.

Values from the calculation:
DOS at the Fermi energy, states/eV per cell: 12.78
Energy relative to the elements, uncorrected, eV per atom: -2.509

abc: 5.855 5.989 10.184
angles: 90.00 124.92 90.00
Space group P2_1/c (No. 14)
Symmetry-distinct sites (fractional):
1 Na 0.242 0.038 0.249 (multiplicity 4)
2 Ho 0.000 0.000 0.500 (multiplicity 2)
3 Pa 0.500 0.000 0.000 (multiplicity 2)
4 O 0.151 0.193 0.947 (multiplicity 4)
5 O 0.257 0.706 0.945 (multiplicity 4)
6 O 0.361 0.045 0.758 (multiplicity 4)